Density functional theory data (PBE) for a relaxed CdBiSbO6 crystal.

a = 5.4811 Å, b = 5.4811 Å, c = 9.7859 Å
α = 90.00°, β = 90.00°, γ = 120.00°
Last column: nearest neighbours and their distance in Å.
Positions (direct):
Cd 0.0000 0.0000 0.0000  6 O 2.38
Cd 0.0000 0.0000 0.5000  6 O 2.38
Bi 0.3333 0.6667 0.2500  6 O 2.15
Bi 0.6667 0.3333 0.7500  6 O 2.15
Sb 0.3333 0.6667 0.7500  6 O 2.03
Sb 0.6667 0.3333 0.2500  6 O 2.03
O 0.0169 0.3703 0.6347  1 Sb 2.03, 1 Bi 2.15
O 0.0169 0.6466 0.8653  1 Sb 2.03, 1 Bi 2.15
O 0.3534 0.3703 0.8653  1 Sb 2.03, 1 Bi 2.15
O 0.3534 0.9831 0.6347  1 Sb 2.03, 1 Bi 2.15
O 0.3703 0.0169 0.1347  1 Sb 2.03, 1 Bi 2.15
O 0.3703 0.3534 0.3653  1 Sb 2.03, 1 Bi 2.15
O 0.6297 0.6466 0.6347  1 Sb 2.03, 1 Bi 2.15
O 0.6297 0.9831 0.8653  1 Sb 2.03, 1 Bi 2.15
O 0.6466 0.0169 0.3653  1 Sb 2.03, 1 Bi 2.15
O 0.6466 0.6297 0.1347  1 Sb 2.03, 1 Bi 2.15
O 0.9831 0.3534 0.1347  1 Sb 2.03, 1 Bi 2.15
O 0.9831 0.6297 0.3653  1 Sb 2.03, 1 Bi 2.15

* raw total energy: -0.3969 Ry per atom
* formation energy from raw total energies: -1.104 eV/atom